MgTi2Cr PBE relaxed; symmetry = P4/mmm (123); calculated formation energy = 0.05 eV per atom; uncorrected energy = -26.80 eV per cell; excess energy over the best structure of this formula in the dataset = 0.000 eV/f.u.; density = 4.23 g/cm3
1.0
3.073 0.000 0.000
0.000 3.073 0.000
0.000 0.000 7.156
Cr Mg Ti
1 1 2
direct
0.500 0.500 0.000
0.500 0.500 0.500
0.000 0.000 0.805
0.000 0.000 0.195